No. 1
A plane-wave DFT calculation with PBE-GGA was carried out for LiCdPd2 after structural relaxation.

```
LiCdPd2
1.0
0.000 3.171 3.171
3.171 0.000 3.171
3.171 3.171 0.000
Li Cd Pd
1 1 2
direct
0.000 0.000 0.000
0.750 0.750 0.750
0.250 0.250 0.250
0.500 0.500 0.500
```

final energy: -14.704 eV per cell
symmetry: F-43m

No. 2
A plane-wave DFT calculation with PBE-GGA was carried out for Li4Cd2PdPt after structural relaxation.

```
Li4Cd2PdPt
1.0
4.478 0.000 0.000
0.000 4.478 0.000
0.000 0.000 6.332
Li Cd Pd Pt
4 2 1 1
direct
0.000 0.000 0.000
0.000 0.500 0.750
0.500 0.000 0.250
0.500 0.500 0.500
0.000 0.500 0.250
0.500 0.000 0.750
0.000 0.000 0.500
0.500 0.500 0.000
```

final energy: -24.125 eV per cell
symmetry: P-4m2
magnetic moment: 0.001 μB/atom

No. 3
A plane-wave DFT calculation with PBE-GGA was carried out for Li2ScCdSn2Pd2 after structural relaxation.

```
Li2ScCdSn2Pd2
1.0
4.654 0.000 0.000
0.000 4.654 0.000
0.000 0.000 6.535
Li Sc Cd Sn Pd
2 1 1 2 2
direct
0.000 0.500 0.238
0.500 0.000 0.762
0.000 0.000 0.500
0.500 0.500 0.000
0.000 0.000 0.000
0.500 0.500 0.500
0.000 0.500 0.736
0.500 0.000 0.264
```

final energy: -34.276 eV per cell
symmetry: P-4m2
magnetic moment: 0.000 μB/atom

No. 4
A plane-wave DFT calculation with PBE-GGA was carried out for Li4CdSn2Pd after structural relaxation.

```
Li4CdSn2Pd
1.0
4.582 0.000 0.000
0.000 4.582 0.000
0.000 0.000 6.625
Li Cd Sn Pd
4 1 2 1
direct
0.000 0.000 0.000
0.000 0.500 0.232
0.500 0.000 0.768
0.500 0.500 0.500
0.000 0.000 0.500
0.000 0.500 0.770
0.500 0.000 0.230
0.500 0.500 0.000
```

final energy: -25.483 eV per cell
symmetry: P-4m2

No. 5
A plane-wave DFT calculation with PBE-GGA was carried out for Li4CdSnPd2 after structural relaxation.

```
Li4CdSnPd2
1.0
4.499 0.000 0.000
0.000 4.499 0.000
0.000 0.000 6.278
Li Cd Sn Pd
4 1 1 2
direct
0.000 0.000 0.000
0.000 0.500 0.246
0.500 0.000 0.754
0.500 0.500 0.500
0.500 0.500 0.000
0.000 0.000 0.500
0.000 0.500 0.738
0.500 0.000 0.262
```

final energy: -26.840 eV per cell
symmetry: P-4m2

No. 6
A plane-wave DFT calculation with PBE-GGA was carried out for Li2YCdSn2Pd2 after structural relaxation.

```
Li2YCdSn2Pd2
1.0
4.729 0.000 0.000
0.000 4.729 0.000
0.000 0.000 6.696
Li Y Cd Sn Pd
2 1 1 2 2
direct
0.000 0.500 0.218
0.500 0.000 0.782
0.000 0.000 0.500
0.500 0.500 0.000
0.000 0.000 0.000
0.500 0.500 0.500
0.000 0.500 0.749
0.500 0.000 0.251
```

final energy: -34.429 eV per cell
symmetry: P-4m2
magnetic moment: 0.000 μB/atom

No. 7
A plane-wave DFT calculation with PBE-GGA was carried out for Li2ZnCdSn2Pd2 after structural relaxation.

```
Li2ZnCdSn2Pd2
1.0
4.593 0.000 0.000
0.000 4.593 0.000
0.000 0.000 6.507
Li Zn Cd Sn Pd
2 1 1 2 2
direct
0.000 0.500 0.239
0.500 0.000 0.761
0.500 0.500 0.000
0.000 0.000 0.500
0.000 0.000 0.000
0.500 0.500 0.500
0.000 0.500 0.768
0.500 0.000 0.232
```

final energy: -28.000 eV per cell
symmetry: P-4m2

No. 8
A plane-wave DFT calculation with PBE-GGA was carried out for Li4TlCdPd2 after structural relaxation.

```
Li4TlCdPd2
1.0
4.511 0.000 0.000
0.000 4.511 0.000
0.000 0.000 6.378
Li Tl Cd Pd
4 1 1 2
direct
0.000 0.000 0.000
0.000 0.500 0.249
0.500 0.000 0.751
0.500 0.500 0.500
0.000 0.000 0.500
0.500 0.500 0.000
0.000 0.500 0.752
0.500 0.000 0.248
```

final energy: -24.341 eV per cell
symmetry: P-4m2

No. 9
A plane-wave DFT calculation with PBE-GGA was carried out for Li4ZnCdPd2 after structural relaxation.

```
Li4ZnCdPd2
1.0
4.368 0.000 0.000
0.000 4.368 0.000
0.000 0.000 6.251
Li Zn Cd Pd
4 1 1 2
direct
0.000 0.000 0.000
0.000 0.500 0.236
0.500 0.000 0.764
0.500 0.500 0.500
0.500 0.500 0.000
0.000 0.000 0.500
0.000 0.500 0.773
0.500 0.000 0.227
```

final energy: -23.516 eV per cell
symmetry: P-4m2

No. 10
A plane-wave DFT calculation with PBE-GGA was carried out for LiPmTlCd after structural relaxation.

```
LiPmTlCd
1.0
0.000 3.655 3.655
3.655 0.000 3.655
3.655 3.655 0.000
Li Pm Tl Cd
1 1 1 1
direct
0.000 0.000 0.000
0.500 0.500 0.500
0.250 0.250 0.250
0.750 0.750 0.750
```

final energy: -11.261 eV per cell
symmetry: F-43m
magnetic moment: 0.002 μB/atom

No. 11
A plane-wave DFT calculation with PBE-GGA was carried out for LiPmZnCd after structural relaxation.

```
LiPmZnCd
1.0
0.000 3.437 3.437
3.437 0.000 3.437
3.437 3.437 0.000
Li Pm Zn Cd
1 1 1 1
direct
0.000 0.000 0.000
0.750 0.750 0.750
0.500 0.500 0.500
0.250 0.250 0.250
```

final energy: -10.039 eV per cell
symmetry: F-43m
magnetic moment: 0.000 μB/atom

No. 12
A plane-wave DFT calculation with PBE-GGA was carried out for LiPrCd6 after structural relaxation.

```
LiPrCd6
1.0
4.914 0.000 0.000
0.000 4.914 0.000
0.000 0.000 7.384
Li Pr Cd
1 1 6
direct
0.000 0.000 0.000
0.500 0.500 0.500
0.000 0.000 0.500
0.000 0.500 0.224
0.000 0.500 0.776
0.500 0.000 0.224
0.500 0.000 0.776
0.500 0.500 0.000
```

final energy: -14.044 eV per cell
symmetry: P4/mmm
magnetic moment: 0.000 μB/atom

No. 13
A plane-wave DFT calculation with PBE-GGA was carried out for LiPrCdSe3 after structural relaxation.

```
LiPrCdSe3
1.0
2.098 -6.586 0.000
2.098 6.586 0.000
0.000 0.000 11.492
Li Pr Cd Se
2 2 2 6
direct
0.236 0.764 0.750
0.764 0.236 0.250
0.000 0.000 0.000
0.000 0.000 0.500
0.475 0.525 0.250
0.525 0.475 0.750
0.102 0.898 0.250
0.352 0.648 0.072
0.352 0.648 0.428
0.648 0.352 0.572
0.648 0.352 0.928
0.898 0.102 0.750
```

symmetry: Cmcm
magnetic moment: 0.000 μB/atom
energy above the most stable polymorph in this dataset: 0.043 eV/atom

No. 14
A plane-wave DFT calculation with PBE-GGA was carried out for LiPrCdSe3 after structural relaxation.

```
LiPrCdSe3
1.0
11.616 0.000 0.000
0.000 4.259 0.000
0.000 0.000 13.624
Li Pr Cd Se
4 4 4 12
direct
0.125 0.250 0.024
0.375 0.750 0.524
0.625 0.250 0.476
0.875 0.750 0.976
0.029 0.250 0.743
0.471 0.750 0.243
0.529 0.250 0.757
0.971 0.750 0.257
0.218 0.250 0.295
0.282 0.750 0.795
0.718 0.250 0.205
0.782 0.750 0.705
0.026 0.250 0.392
0.089 0.750 0.901
0.220 0.750 0.169
0.280 0.250 0.669
0.411 0.250 0.401
0.474 0.750 0.892
0.526 0.250 0.108
0.589 0.750 0.599
0.720 0.750 0.331
0.780 0.250 0.831
0.911 0.250 0.099
0.974 0.750 0.608
```

symmetry: Pnma
magnetic moment: 0.000 μB/atom
energy above the most stable polymorph in this dataset: 0.000 eV/atom

No. 15
A plane-wave DFT calculation with PBE-GGA was carried out for LiPrCdTe3 after structural relaxation.

```
LiPrCdTe3
1.0
13.320 0.000 0.000
0.000 4.461 0.000
0.000 0.000 12.956
Li Pr Cd Te
4 4 4 12
direct
0.114 0.250 0.006
0.386 0.750 0.506
0.614 0.250 0.494
0.886 0.750 0.994
0.047 0.250 0.680
0.453 0.750 0.180
0.547 0.250 0.820
0.953 0.750 0.320
0.236 0.250 0.284
0.264 0.750 0.784
0.736 0.250 0.216
0.764 0.750 0.716
0.063 0.750 0.863
0.084 0.250 0.428
0.215 0.750 0.147
0.285 0.250 0.647
0.416 0.750 0.928
0.437 0.250 0.363
0.563 0.750 0.637
0.584 0.250 0.072
0.715 0.750 0.353
0.785 0.250 0.853
0.916 0.750 0.572
0.937 0.250 0.137
```

symmetry: Pnma
magnetic moment: 0.000 μB/atom
energy above the most stable polymorph in this dataset: 0.000 eV/atom

No. 16
A plane-wave DFT calculation with PBE-GGA was carried out for LiPrCdTe3 after structural relaxation.

```
LiPrCdTe3
1.0
2.198 -7.277 0.000
2.198 7.277 0.000
0.000 0.000 11.888
Li Pr Cd Te
2 2 2 6
direct
0.207 0.793 0.750
0.793 0.207 0.250
0.000 0.000 0.000
0.000 0.000 0.500
0.481 0.519 0.250
0.519 0.481 0.750
0.104 0.896 0.250
0.352 0.648 0.072
0.352 0.648 0.428
0.648 0.352 0.572
0.648 0.352 0.928
0.896 0.104 0.750
```

symmetry: Cmcm
magnetic moment: 0.001 μB/atom
energy above the most stable polymorph in this dataset: 0.007 eV/atom

No. 17
A plane-wave DFT calculation with PBE-GGA was carried out for Li2CdPt after structural relaxation.

```
Li2CdPt
1.0
0.000 3.159 3.159
3.159 0.000 3.159
3.159 3.159 0.000
Li Cd Pt
2 1 1
direct
0.000 0.000 0.000
0.250 0.250 0.250
0.750 0.750 0.750
0.500 0.500 0.500
```

final energy: -12.612 eV per cell
symmetry: F-43m
magnetic moment: 0.000 μB/atom

No. 18
A plane-wave DFT calculation with PBE-GGA was carried out for Li2CdPt after structural relaxation.

```
Li2CdPt
1.0
-2.219 2.219 3.210
2.219 -2.219 3.210
2.219 2.219 -3.210
Li Cd Pt
2 1 1
direct
0.000 0.000 0.000
0.750 0.250 0.500
0.250 0.750 0.500
0.500 0.500 0.000
```

final energy: -12.617 eV per cell
symmetry: I-4m2
magnetic moment: 0.000 μB/atom

No. 19
A plane-wave DFT calculation with PBE-GGA was carried out for Li6CdPt after structural relaxation.

```
Li6CdPt
1.0
4.358 0.000 0.000
0.000 4.358 0.000
0.000 0.000 6.200
Li Cd Pt
6 1 1
direct
0.000 0.000 0.000
0.000 0.500 0.226
0.000 0.500 0.774
0.500 0.000 0.226
0.500 0.000 0.774
0.500 0.500 0.500
0.000 0.000 0.500
0.500 0.500 0.000
```

final energy: -20.639 eV per cell
symmetry: P4/mmm
magnetic moment: 0.000 μB/atom

No. 20
A plane-wave DFT calculation with PBE-GGA was carried out for Li2ScTl2CdPt2 after structural relaxation.

```
Li2ScTl2CdPt2
1.0
4.665 0.000 0.000
0.000 4.665 0.000
0.000 0.000 6.701
Li Sc Tl Cd Pt
2 1 2 1 2
direct
0.000 0.500 0.231
0.500 0.000 0.769
0.000 0.000 0.500
0.000 0.000 0.000
0.500 0.500 0.500
0.500 0.500 0.000
0.000 0.500 0.737
0.500 0.000 0.263
```

final energy: -31.676 eV per cell
symmetry: P-4m2
magnetic moment: 0.000 μB/atom

No. 21
A plane-wave DFT calculation with PBE-GGA was carried out for Li4CdSiPt2 after structural relaxation.

```
Li4CdSiPt2
1.0
4.260 0.000 0.000
0.000 4.260 0.000
0.000 0.000 6.292
Li Cd Si Pt
4 1 1 2
direct
0.000 0.000 0.000
0.000 0.500 0.734
0.500 0.000 0.266
0.500 0.500 0.500
0.500 0.500 0.000
0.000 0.000 0.500
0.000 0.500 0.296
0.500 0.000 0.704
```

final energy: -30.850 eV per cell
symmetry: P-4m2
magnetic moment: 0.001 μB/atom

No. 22
A plane-wave DFT calculation with PBE-GGA was carried out for Li4CdSnPt2 after structural relaxation.

```
Li4CdSnPt2
1.0
4.490 0.000 0.000
0.000 4.490 0.000
0.000 0.000 6.291
Li Cd Sn Pt
4 1 1 2
direct
0.000 0.000 0.000
0.000 0.500 0.745
0.500 0.000 0.255
0.500 0.500 0.500
0.000 0.000 0.500
0.500 0.500 0.000
0.000 0.500 0.235
0.500 0.000 0.765
```

final energy: -29.139 eV per cell
symmetry: P-4m2
magnetic moment: 0.001 μB/atom

No. 23
A plane-wave DFT calculation with PBE-GGA was carried out for Li4Cd2SnPt after structural relaxation.

```
Li4Cd2SnPt
1.0
4.591 0.000 0.000
0.000 4.591 0.000
0.000 0.000 6.559
Li Cd Sn Pt
4 2 1 1
direct
0.000 0.000 0.000
0.000 0.500 0.724
0.500 0.000 0.276
0.500 0.500 0.500
0.000 0.500 0.267
0.500 0.000 0.733
0.500 0.500 0.000
0.000 0.000 0.500
```

final energy: -22.567 eV per cell
symmetry: P-4m2
magnetic moment: 0.001 μB/atom

No. 24
A plane-wave DFT calculation with PBE-GGA was carried out for LiPuCd after structural relaxation.

```
LiPuCd
1.0
0.000 3.358 3.358
3.358 0.000 3.358
3.358 3.358 0.000
Li Pu Cd
1 1 1
direct
0.000 0.000 0.000
0.750 0.750 0.750
0.250 0.250 0.250
```

symmetry: F-43m
magnetic moment: 2.420 μB/atom
energy above the most stable polymorph in this dataset: 0.000 eV/atom